The following is a DFT calculation (PBE) of a relaxed KCuP2 crystal.

```
KCuP2
1.0
3.317 0.000 0.000
0.000 3.317 0.000
0.000 0.000 7.320
K Cu P
1 1 2
Direct
0.000 0.000 0.000 K
0.500 0.500 0.646 Cu
0.000 0.000 0.464 P
0.500 0.500 0.335 P
```

## Properties
**Mass density**: 3.39 Mg/m³
**Energy above the lowest structure with this stoichiometry**: 0.397 eV/atom
**D(E_F)**: 1.2 states/eV/f.u.
**Formation energy**: 1.0 eV/f.u.
**SG**: P4mm (99)



The following is a DFT calculation (PBE) of a relaxed FeCoBr2 crystal.

```
FeCoBr2
1.0
1.764 1.019 7.887
-1.764 1.019 7.887
0.000 -2.037 7.887
Fe Co Br
1 1 2
Direct
0.000 0.000 0.000 Fe
0.717 0.717 0.717 Co
0.266 0.266 0.266 Br
0.440 0.440 0.440 Br
```

## Properties
**Mass density**: 5.36 Mg/m³
**Energy relative to the elements, uncorrected**: 0.064 eV/atom
**Energy above the lowest structure with this stoichiometry**: 0.082 eV/atom
**D(E_F)**: 1.2 states/eV/f.u.
**SG**: R3m (160)



The following is a DFT calculation (PBE) of a relaxed Ca5Pt7 crystal.

```
Ca5Pt7
1.0
6.813 0.000 0.000
0.000 4.448 0.000
-2.863 0.000 8.060
Ca Pt
5 7
Direct
0.000 0.000 0.000 Ca
0.037 0.500 0.718 Ca
0.382 0.500 0.134 Ca
0.618 0.500 0.866 Ca
0.963 0.500 0.282 Ca
0.000 0.000 0.500 Pt
0.317 0.000 0.355 Pt
0.332 0.500 0.554 Pt
0.348 0.000 0.829 Pt
0.652 0.000 0.171 Pt
0.668 0.500 0.446 Pt
0.683 0.000 0.645 Pt
```

## Properties
**Mass density**: 10.65 Mg/m³
**Energy above the lowest structure with this stoichiometry**: 0.221 eV/atom
**D(E_F)**: 7.5 states/eV/f.u.
**Formation energy**: -5.8 eV/f.u.
**SG**: P2/m (10)



The following is a DFT calculation (PBE) of a relaxed CePr6Nd5 crystal.

```
CePr6Nd5
1.0
9.041 -3.683 0.000
9.041 3.683 0.000
-0.009 0.000 6.401
Ce Pr Nd
1 6 5
Direct
0.000 0.000 0.000 Ce
0.082 0.588 0.165 Pr
0.246 0.754 0.500 Pr
0.412 0.918 0.835 Pr
0.588 0.082 0.165 Pr
0.754 0.246 0.500 Pr
0.918 0.412 0.835 Pr
0.166 0.166 0.330 Nd
0.333 0.333 0.667 Nd
0.500 0.500 0.000 Nd
0.667 0.667 0.333 Nd
0.834 0.834 0.670 Nd
```

## Properties
**Mass density**: 6.65 Mg/m³
**D(E_F)**: 23.8 states/eV/f.u.
**Formation energy**: 0.4 eV/f.u.
**SG**: C2/m (12)



The following is a DFT calculation (PBE) of a relaxed Li5Fe2H12 crystal.

```
Li5Fe2H12
1.0
4.762 -2.843 0.000
4.762 2.843 0.000
-0.855 0.000 4.712
Li Fe H
5 2 12
Direct
0.000 0.000 0.000 Li
0.242 0.242 0.461 Li
0.370 0.370 0.007 Li
0.630 0.630 0.993 Li
0.758 0.758 0.539 Li
0.251 0.749 0.500 Fe
0.749 0.251 0.500 Fe
0.070 0.070 0.631 H
0.115 0.594 0.271 H
0.129 0.671 0.735 H
0.329 0.871 0.265 H
0.406 0.885 0.729 H
0.460 0.460 0.641 H
0.540 0.540 0.359 H
0.594 0.115 0.271 H
0.671 0.129 0.735 H
0.871 0.329 0.265 H
0.885 0.406 0.729 H
0.930 0.930 0.369 H
```

## Properties
**Mass density**: 2.06 Mg/m³
**Total DFT energy (no corrections)**: -3.6981 eV/atom
**D(E_F)**: 2.3 states/eV/f.u.
**SG**: C2/m (12)



The following is a DFT calculation (PBE) of a relaxed PmBRh crystal.

```
PmBRh
1.0
5.009 -1.821 0.000
5.009 1.821 0.000
-3.773 0.000 5.636
Pm B Rh
2 2 2
Direct
0.061 0.061 0.323 Pm
0.939 0.939 0.677 Pm
0.306 0.306 0.235 B
0.694 0.694 0.765 B
0.310 0.310 0.905 Rh
0.690 0.690 0.095 Rh
```

## Properties
**Mass density**: 8.36 Mg/m³
**Energy above the lowest structure with this stoichiometry**: 0.000 eV/atom
**D(E_F)**: 1.5 states/eV/f.u.
**Formation energy**: -1.5 eV/f.u.
**SG**: C2/m (12)



The following is a DFT calculation (PBE) of a relaxed Cs2RbIrO4 crystal.

```
Cs2RbIrO4
1.0
-3.427 3.427 3.930
3.427 -3.427 3.930
3.427 3.427 -3.930
Cs Rb Ir O
2 1 1 4
Direct
0.000 0.000 0.000 Cs
0.750 0.250 0.500 Cs
0.250 0.750 0.500 Rb
0.500 0.500 0.000 Ir
0.306 0.306 0.612 O
0.306 0.694 0.000 O
0.694 0.306 0.000 O
0.694 0.694 0.388 O
```

## Properties
**Mass density**: 5.46 Mg/m³
**Energy relative to the elements, uncorrected**: -1.194 eV/atom
**D(E_F)**: 5.5 states/eV/f.u.
**SG**: I-4m2 (119)



The following is a DFT calculation (PBE) of a relaxed W3Br crystal.

```
W3Br
1.0
4.972 -1.523 0.000
4.972 1.523 0.000
-1.526 0.000 4.440
W Br
3 1
Direct
0.000 0.000 0.000 W
0.252 0.252 0.772 W
0.748 0.748 0.228 W
0.500 0.500 0.500 Br
```

## Properties
**Mass density**: 15.59 Mg/m³
**Energy relative to the elements, uncorrected**: 1.032 eV/atom
**Energy above the lowest structure with this stoichiometry**: 0.299 eV/atom
**D(E_F)**: 3.2 states/eV/f.u.
**SG**: C2/m (12)



The following is a DFT calculation (PBE) of a relaxed Pa2TaMoN6 crystal.

```
Pa2TaMoN6
1.0
2.818 1.627 4.678
-2.818 1.627 4.678
0.000 -3.253 4.678
Pa Ta Mo N
2 1 1 6
Direct
0.000 0.000 0.000 Pa
0.499 0.499 0.499 Pa
0.277 0.277 0.277 Ta
0.782 0.782 0.782 Mo
0.061 0.644 0.425 N
0.144 0.558 0.928 N
0.425 0.061 0.644 N
0.558 0.928 0.144 N
0.644 0.425 0.061 N
0.928 0.144 0.558 N
```

## Properties
**Mass density**: 10.62 Mg/m³
**Energy relative to the elements, uncorrected**: -1.169 eV/atom
**D(E_F)**: 8.2 states/eV/f.u.
**SG**: R3 (146)



The following is a DFT calculation (PBE) of a relaxed TcMoW2N crystal.

```
TcMoW2N
1.0
4.112 0.000 0.000
0.000 4.112 0.000
0.000 0.000 4.115
Tc Mo W N
1 1 2 1
Direct
0.000 0.000 0.000 Tc
0.500 0.500 0.000 Mo
0.000 0.500 0.500 W
0.500 0.000 0.500 W
0.500 0.500 0.500 N
```

## Properties
**Mass density**: 13.74 Mg/m³
**Energy relative to the elements, uncorrected**: 0.011 eV/atom
**D(E_F)**: 4.6 states/eV/f.u.
**SG**: P4/mmm (123)



The following is a DFT calculation (PBE) of a relaxed Zr2NiS4 crystal.

```
Zr2NiS4
1.0
0.000 5.168 5.168
5.168 0.000 5.168
5.168 5.168 0.000
Zr Ni S
4 2 8
Direct
0.000 0.000 0.000 Zr
0.000 0.000 0.500 Zr
0.000 0.500 0.000 Zr
0.500 0.000 0.000 Zr
0.375 0.375 0.375 Ni
0.625 0.625 0.625 Ni
0.251 0.251 0.251 S
0.251 0.251 0.747 S
0.251 0.747 0.251 S
0.253 0.749 0.749 S
0.747 0.251 0.251 S
0.749 0.253 0.749 S
0.749 0.749 0.253 S
0.749 0.749 0.749 S
```

## Properties
**Mass density**: 4.44 Mg/m³
**Energy relative to the elements, uncorrected**: -1.283 eV/atom
**D(E_F)**: 2.6 states/eV/f.u.
**SG**: Fd-3m (227)



The following is a DFT calculation (PBE) of a relaxed Cs2NaIn3Pb4 crystal.

```
Cs2NaIn3Pb4
1.0
5.349 0.000 0.000
0.000 5.349 0.000
0.000 0.000 12.800
Cs Na In Pb
2 1 3 4
Direct
0.000 0.500 0.248 Cs
0.500 0.000 0.752 Cs
0.000 0.000 0.500 Na
0.000 0.500 0.869 In
0.500 0.000 0.131 In
0.500 0.500 0.500 In
0.000 0.000 0.000 Pb
0.000 0.500 0.633 Pb
0.500 0.000 0.367 Pb
0.500 0.500 0.000 Pb
```

## Properties
**Mass density**: 6.63 Mg/m³
**D(E_F)**: 4.4 states/eV/f.u.
**Formation energy**: -1.1 eV/f.u.
**SG**: P-4m2 (115)



The following is a DFT calculation (PBE) of a relaxed HfSb2I crystal.

```
HfSb2I
1.0
0.000 3.757 3.757
3.757 0.000 3.757
3.757 3.757 0.000
Hf Sb I
1 2 1
Direct
0.000 0.000 0.000 Hf
0.250 0.250 0.250 Sb
0.750 0.750 0.750 Sb
0.500 0.500 0.500 I
```

## Properties
**Mass density**: 8.60 Mg/m³
**Energy relative to the elements, uncorrected**: 0.416 eV/atom
**D(E_F)**: 5.4 states/eV/f.u.
**SG**: Fm-3m (225)



The following is a DFT calculation (PBE) of a relaxed Li4Ce3USe8 crystal.

```
Li4Ce3USe8
1.0
4.190 2.419 6.496
-4.190 2.419 6.496
0.000 -4.838 6.496
Li Ce U Se
4 3 1 8
Direct
0.000 0.000 0.000 Li
0.000 0.500 0.500 Li
0.500 0.000 0.500 Li
0.500 0.500 0.000 Li
0.000 0.000 0.500 Ce
0.000 0.500 0.000 Ce
0.500 0.000 0.000 Ce
0.500 0.500 0.500 U
0.250 0.250 0.741 Se
0.250 0.741 0.250 Se
0.254 0.254 0.254 Se
0.259 0.750 0.750 Se
0.741 0.250 0.250 Se
0.746 0.746 0.746 Se
0.750 0.259 0.750 Se
0.750 0.750 0.259 Se
```

## Properties
**Mass density**: 5.54 Mg/m³
**Energy relative to the elements, uncorrected**: -1.475 eV/atom
**D(E_F)**: 26.3 states/eV/f.u.
**SG**: R-3m (166)



The following is a DFT calculation (PBE) of a relaxed KNaS2O7 crystal.

```
KNaS2O7
1.0
5.988 0.000 0.000
-0.632 7.319 0.000
-0.032 -1.544 7.466
K Na S O
2 2 4 14
Direct
0.221 0.278 0.434 K
0.779 0.722 0.566 K
0.198 0.150 0.900 Na
0.802 0.850 0.100 Na
0.281 0.676 0.902 S
0.292 0.775 0.301 S
0.708 0.225 0.699 S
0.719 0.324 0.098 S
0.108 0.806 0.895 O
0.108 0.895 0.305 O
0.230 0.492 0.792 O
0.264 0.623 0.105 O
0.268 0.649 0.425 O
0.486 0.125 0.697 O
0.492 0.240 0.112 O
0.508 0.760 0.888 O
0.514 0.875 0.303 O
0.732 0.351 0.575 O
0.736 0.377 0.895 O
0.770 0.508 0.208 O
0.892 0.105 0.695 O
0.892 0.194 0.105 O
```

## Properties
**Mass density**: 2.42 Mg/m³
**Energy relative to the elements, uncorrected**: -1.651 eV/atom
**D(E_F)**: 0.0 states/eV/f.u.
**SG**: P-1 (2)



The following is a DFT calculation (PBE) of a relaxed SiWAu crystal.

```
SiWAu
1.0
0.000 3.059 3.059
3.059 0.000 3.059
3.059 3.059 0.000
Si W Au
1 1 1
Direct
0.000 0.000 0.000 Si
0.750 0.750 0.750 W
0.500 0.500 0.500 Au
```

## Properties
**Mass density**: 11.86 Mg/m³
**Energy relative to the elements, uncorrected**: 0.699 eV/atom
**Energy above the lowest structure with this stoichiometry**: 0.434 eV/atom
**D(E_F)**: 3.6 states/eV/f.u.
**SG**: F-43m (216)



The following is a DFT calculation (PBE) of a relaxed AuSe2Br crystal.

```
AuSe2Br
1.0
3.744 0.000 0.000
0.000 3.744 0.000
0.000 0.000 8.193
Au Se Br
1 2 1
Direct
0.000 0.000 0.000 Au
0.000 0.000 0.690 Se
0.500 0.500 0.626 Se
0.500 0.500 0.122 Br
```

## Properties
**Mass density**: 6.29 Mg/m³
**Energy relative to the elements, uncorrected**: 0.147 eV/atom
**D(E_F)**: 2.6 states/eV/f.u.
**SG**: P4mm (99)



The following is a DFT calculation (PBE) of a relaxed ZnCuCl3 crystal.

```
ZnCuCl3
1.0
6.602 -1.893 0.000
6.602 1.893 0.000
-1.399 0.000 10.889
Zn Cu Cl
2 2 6
Direct
0.090 0.090 0.287 Zn
0.910 0.910 0.713 Zn
0.324 0.324 0.189 Cu
0.676 0.676 0.811 Cu
0.089 0.089 0.755 Cl
0.161 0.161 0.111 Cl
0.370 0.370 0.595 Cl
0.630 0.630 0.405 Cl
0.839 0.839 0.889 Cl
0.911 0.911 0.245 Cl
```

## Properties
**Mass density**: 2.87 Mg/m³
**Energy relative to the elements, uncorrected**: -0.821 eV/atom
**Energy above the lowest structure with this stoichiometry**: 0.000 eV/atom
**SG**: C2/m (12)



The following is a DFT calculation (PBE) of a relaxed CsGeSe2 crystal.

```
CsGeSe2
1.0
9.988 0.000 0.000
0.000 4.832 0.000
0.000 0.000 12.964
Cs Ge Se
4 4 8
Direct
0.189 0.250 0.155 Cs
0.311 0.750 0.655 Cs
0.689 0.250 0.345 Cs
0.811 0.750 0.845 Cs
0.040 0.750 0.409 Ge
0.460 0.250 0.909 Ge
0.540 0.750 0.091 Ge
0.960 0.250 0.591 Ge
0.061 0.250 0.753 Se
0.138 0.250 0.449 Se
0.362 0.750 0.949 Se
0.439 0.750 0.253 Se
0.561 0.250 0.747 Se
0.638 0.250 0.051 Se
0.862 0.750 0.551 Se
0.939 0.750 0.247 Se
```

## Properties
**Mass density**: 3.86 Mg/m³
**Energy relative to the elements, uncorrected**: -0.655 eV/atom
**D(E_F)**: 0.6 states/eV/f.u.
**SG**: Pnma (62)



The following is a DFT calculation (PBE) of a relaxed Ba2TaPt crystal.

```
Ba2TaPt
1.0
-5.948 5.948 2.503
5.948 -5.948 2.503
5.948 5.948 -2.503
Ba Ta Pt
4 2 2
Direct
0.375 0.212 0.337 Ba
0.788 0.125 0.163 Ba
0.875 0.038 0.663 Ba
0.962 0.625 0.837 Ba
0.250 0.750 0.500 Ta
0.500 0.500 0.000 Ta
0.000 0.000 0.000 Pt
0.750 0.250 0.500 Pt
```

## Properties
**Mass density**: 6.10 Mg/m³
**Energy above the lowest structure with this stoichiometry**: 0.324 eV/atom
**D(E_F)**: 3.5 states/eV/f.u.
**Formation energy**: 1.5 eV/f.u.
**SG**: I-42d (122)



The following is a DFT calculation (PBE) of a relaxed CrCuAs2 crystal.

```
CrCuAs2
1.0
3.123 0.000 0.000
0.000 3.123 0.000
0.000 0.000 5.940
Cr Cu As
1 1 2
Direct
0.000 0.000 0.000 Cr
0.000 0.000 0.500 Cu
0.500 0.500 0.231 As
0.500 0.500 0.769 As
```

## Properties
**Mass density**: 7.61 Mg/m³
**D(E_F)**: 2.4 states/eV/f.u.
**Formation energy**: 0.5 eV/f.u.
**SG**: P4/mmm (123)



The following is a DFT calculation (PBE) of a relaxed Li4MgPt2 crystal.

```
Li4MgPt2
1.0
0.000 4.530 4.753
2.653 0.000 4.753
2.653 4.530 0.000
Li Mg Pt
4 1 2
Direct
0.153 0.847 0.153 Li
0.250 0.250 0.250 Li
0.750 0.750 0.750 Li
0.847 0.153 0.847 Li
0.500 0.500 0.500 Mg
0.223 0.223 0.777 Pt
0.777 0.777 0.223 Pt
```

## Properties
**Mass density**: 6.43 Mg/m³
**D(E_F)**: 2.3 states/eV/f.u.
**Formation energy**: -2.9 eV/f.u.
**SG**: Fmmm (69)